# AgPO3F (PBE-GGA, optimized geometry)
# - size of the total moment (μB/cell) = 1.74
# - E (eV per atom) = -5.4131
# - crystal system = monoclinic
# - formation energy from raw total energies (meV/atom) = -1245.2
data_AgPO3F
_chemical_formula_sum 'Ag2 P2 O6 F2'
_cell_length_a 4.550
_cell_length_b 7.721
_cell_length_c 7.161
_cell_angle_alpha 57.38
_cell_angle_beta 76.43
_cell_angle_gamma 64.20
_space_group_name_H-M_alt 'P 1'
_space_group_IT_number 1
_space_group_name_Hall 'P 1'
loop_
_atom_site_label
_atom_site_type_symbol
_atom_site_fract_x
_atom_site_fract_y
_atom_site_fract_z
_atom_site_occupancy
O1 O 0.949 0.179 0.935 1
O2 O 0.250 0.830 0.341 1
O3 O 0.449 0.114 0.065 1
O4 O 0.051 0.821 0.065 1
O5 O 0.750 0.170 0.659 1
O6 O 0.551 0.886 0.935 1
P1 P 0.750 0.044 0.913 1
P2 P 0.250 0.956 0.087 1
Ag1 Ag 0.750 0.604 0.792 1
Ag2 Ag 0.250 0.396 0.208 1
F1 F 0.250 0.594 0.812 1
F2 F 0.750 0.406 0.188 1